(1)
Entry from Alexandria via LeMat-Bulk: a geometry-optimized NdTl2 structure (GGA-PBE).

- Magnetization: 0.00 μB per formula unit
- Energy of formation: -4.550 kcal/mol of atoms

Unit cell a=3.736 b=3.736 c=12.560 alpha=90.00 beta=90.00 gamma=90.00
Space group I4/mmm (No. 139)
One atom of each set of equivalent atoms:
Nd  0.000  0.000  0.000 (multiplicity 2)
Tl  0.000  0.000  0.328 (multiplicity 4)



(2)
Entry from Alexandria via LeMat-Bulk: a geometry-optimized ScTl2IO8 structure (GGA-PBE).

- E_form (uncorrected): -1.05 eV per atom
- Magnetization: 0.00 μB per formula unit

Unit cell a=5.017 b=6.606 c=5.053 alpha=90.00 beta=93.24 gamma=90.00
Space group P2/m (No. 10)
One atom of each set of equivalent atoms:
Sc  0.000  0.000  0.000 (multiplicity 1)
Tl  0.500  0.247  0.500 (multiplicity 2)
I  0.000  0.500  0.000 (multiplicity 1)
O  0.179  0.282  0.835 (multiplicity 4)
O  0.270  0.500  0.290 (multiplicity 2)
O  0.287  0.000  0.297 (multiplicity 2)



(3)
Entry from Alexandria via LeMat-Bulk: a geometry-optimized Ac4Sm2Ho structure (GGA-PBE).

- Magnetization: 0.00 μB per formula unit
- Energy of formation: 5.828 kcal/mol of atoms

Unit cell a=8.956 b=20.709 c=12.453 alpha=90.00 beta=90.00 gamma=90.00
Space group Fdd2 (No. 43)
One atom of each set of equivalent atoms:
Ac  0.115  0.337  0.000 (multiplicity 16)
Ac  0.120  0.081  0.236 (multiplicity 16)
Sm  0.085  0.263  0.744 (multiplicity 16)
Ho  0.000  0.000  0.988 (multiplicity 8)



(4)
Entry from Alexandria via LeMat-Bulk: a geometry-optimized PmThMgSc structure (GGA-PBE).

- Magnetization: 0.02 μB per formula unit
- Energy of formation: 1.878 kcal/mol of atoms

Unit cell a=7.717 b=7.717 c=7.717 alpha=90.00 beta=90.00 gamma=90.00
Space group F-43m (No. 216)
One atom of each set of equivalent atoms:
Pm  0.000  0.000  0.000 (multiplicity 4)
Th  0.000  0.000  0.500 (multiplicity 4)
Mg  0.250  0.250  0.750 (multiplicity 4)
Sc  0.250  0.250  0.250 (multiplicity 4)



(5)
Entry from Alexandria via LeMat-Bulk: a geometry-optimized YMgMoS4 structure (GGA-PBE).

- E_form (uncorrected): -1.22 eV per atom
- Magnetization: 2.97 μB per formula unit

Unit cell a=7.661 b=7.722 c=10.691 alpha=90.00 beta=90.00 gamma=90.00
Space group Imma (No. 74)
One atom of each set of equivalent atoms:
Y  0.000  0.000  0.000 (multiplicity 4)
Mg  0.000  0.250  0.377 (multiplicity 4)
Mo  0.250  0.250  0.750 (multiplicity 4)
S  0.000  0.030  0.744 (multiplicity 8)
S  0.246  0.250  0.986 (multiplicity 8)



(6)
Entry from Alexandria via LeMat-Bulk: a geometry-optimized TlHOF2 structure (GGA-PBE).

- Excess energy over the best structure of this formula in the dataset: 0.0000 eV/atom
- Magnetization: 0.00 μB per formula unit

Unit cell a=3.314 b=3.314 c=4.372 alpha=90.00 beta=90.00 gamma=90.00
Space group P4/mmm (No. 123)
One atom of each set of equivalent atoms:
Tl  0.000  0.000  0.000 (multiplicity 1)
H  0.500  0.500  0.500 (multiplicity 1)
O  0.500  0.500  0.000 (multiplicity 1)
F  0.000  0.500  0.500 (multiplicity 2)



(7)
Entry from Alexandria via LeMat-Bulk: a geometry-optimized PmUAg2O6 structure (GGA-PBE).

- E_form (uncorrected): -2.07 eV per atom
- Magnetization: 0.00 μB per formula unit

Unit cell a=5.8276 b=5.8276 c=15.4876 alpha=90.00 beta=90.00 gamma=120.00
Space group R-3 (No. 148, hexagonal axes)
One atom of each set of equivalent atoms:
Pm  0.0000  0.0000  0.0000 (multiplicity 3)
U  0.0000  0.0000  0.5000 (multiplicity 3)
Ag  0.0000  0.0000  0.2466 (multiplicity 6)
O  0.0241  0.3942  0.2454 (multiplicity 18)



(8)
Entry from Alexandria via LeMat-Bulk: a geometry-optimized AcAu3Se3 structure (GGA-PBE).

- E_form (uncorrected): -0.61 eV per atom
- Magnetization: 0.00 μB per formula unit

Unit cell a=7.7596 b=7.7596 c=22.0855 alpha=90.00 beta=90.00 gamma=120.00
Space group R-3 (No. 148, hexagonal axes)
One atom of each set of equivalent atoms:
Ac  0.0000  0.0000  0.1669 (multiplicity 6)
Au  0.0043  0.3565  0.6018 (multiplicity 18)
Se  0.0020  0.3212  0.4152 (multiplicity 18)



(9)
Entry from Alexandria via LeMat-Bulk: a geometry-optimized AlSbOs2 structure (GGA-PBE).

- Excess energy over the best structure of this formula in the dataset: 0.5599 eV/atom
- E_form (uncorrected): 0.63 eV per atom
- Magnetization: 0.95 μB per formula unit

Unit cell a=6.422 b=6.422 c=6.422 alpha=90.00 beta=90.00 gamma=90.00
Space group F-43m (No. 216)
One atom of each set of equivalent atoms:
Al  0.000  0.000  0.000 (multiplicity 4)
Sb  0.250  0.250  0.250 (multiplicity 4)
Os  0.000  0.000  0.500 (multiplicity 4)
Os  0.250  0.250  0.750 (multiplicity 4)



(10)
Entry from Alexandria via LeMat-Bulk: a geometry-optimized TmCu4Ge2 structure (GGA-PBE).

- Excess energy over the best structure of this formula in the dataset: 0.0224 eV/atom
- Magnetization: 0.00 μB per formula unit
- Energy of formation: -6.813 kcal/mol of atoms

Unit cell a=4.1339 b=4.1339 c=21.9822 alpha=90.00 beta=90.00 gamma=120.00
Space group R-3m (No. 166, hexagonal axes)
One atom of each set of equivalent atoms:
Tm  0.0000  0.0000  0.0000 (multiplicity 3)
Cu  0.0000  0.0000  0.1405 (multiplicity 6)
Cu  0.0000  0.0000  0.4356 (multiplicity 6)
Ge  0.0000  0.0000  0.2544 (multiplicity 6)



(11)
Entry from Alexandria via LeMat-Bulk: a geometry-optimized DyNbO4F structure (GGA-PBE).

- E_form (uncorrected): -2.75 eV per atom
- Magnetization: 0.00 μB per formula unit

Unit cell a=9.664 b=7.274 c=6.856 alpha=90.00 beta=102.16 gamma=90.00
Space group C2/m (No. 12)
One atom of each set of equivalent atoms:
Dy  0.194  0.000  0.077 (multiplicity 4)
Nb  0.130  0.500  0.292 (multiplicity 4)
O  0.069  0.500  0.759 (multiplicity 4)
O  0.195  0.310  0.153 (multiplicity 8)
O  0.205  0.500  0.570 (multiplicity 4)
F  0.010  0.000  0.817 (multiplicity 4)



(12)
Entry from Alexandria via LeMat-Bulk: a geometry-optimized CaRhPb2 structure (GGA-PBE).

- Magnetization: 0.00 μB per formula unit
- Energy of formation: -5.243 kcal/mol of atoms

Unit cell a=3.562 b=3.562 c=7.508 alpha=90.00 beta=90.00 gamma=90.00
Space group P4/mmm (No. 123)
One atom of each set of equivalent atoms:
Ca  0.000  0.000  0.000 (multiplicity 1)
Rh  0.000  0.000  0.500 (multiplicity 1)
Pb  0.500  0.500  0.294 (multiplicity 2)



(13)
Entry from Alexandria via LeMat-Bulk: a geometry-optimized PIrCl2 structure (GGA-PBE).

- Excess energy over the best structure of this formula in the dataset: 1.7685 eV/atom
- E_form (uncorrected): 1.11 eV per atom
- Magnetization: 1.87 μB per formula unit

Unit cell a=2.967 b=2.967 c=8.910 alpha=90.00 beta=90.00 gamma=90.00
Space group P4/mmm (No. 123)
One atom of each set of equivalent atoms:
P  0.000  0.000  0.000 (multiplicity 1)
Ir  0.000  0.000  0.500 (multiplicity 1)
Cl  0.500  0.500  0.309 (multiplicity 2)



(14)
Entry from Alexandria via LeMat-Bulk: a geometry-optimized Tm3CdGa3 structure (GGA-PBE).

- Magnetization: 0.00 μB per formula unit
- Energy of formation: -8.411 kcal/mol of atoms

Unit cell a=8.6760 b=8.6760 c=4.8449 alpha=90.00 beta=90.00 gamma=120.00
Space group P6_3/m (No. 176)
One atom of each set of equivalent atoms:
Tm  0.0957  0.6606  0.2500 (multiplicity 6)
Cd  0.3333  0.6667  0.7500 (multiplicity 2)
Ga  0.0414  0.8302  0.7500 (multiplicity 6)



(15)
Entry from Alexandria via LeMat-Bulk: a geometry-optimized AgN2F structure (GGA-PBE).

- Excess energy over the best structure of this formula in the dataset: 1.9046 eV/atom
- E_form (uncorrected): 1.49 eV per atom
- Magnetization: 0.00 μB per formula unit

Unit cell a=3.4515 b=3.4515 c=15.5919 alpha=90.00 beta=90.00 gamma=120.00
Space group R-3m (No. 166, hexagonal axes)
One atom of each set of equivalent atoms:
Ag  0.0000  0.0000  0.0000 (multiplicity 3)
N  0.0000  0.0000  0.3856 (multiplicity 6)
F  0.0000  0.0000  0.5000 (multiplicity 3)